(a)
A plane-wave DFT calculation with PBE was carried out for an optimized crystal structure of Ta5Hg.

Lattice parameters (Å, degrees): 5.647 5.647 4.535 90.00 90.00 120.00
Element x y z (fractional)
Ta (0.000, 0.500, 0.000)
Ta (0.333, 0.667, 0.500)
Ta (0.500, 0.000, 0.000)
Ta (0.500, 0.500, 0.000)
Ta (0.667, 0.333, 0.500)
Hg (0.000, 0.000, 0.500)

## Properties
DOS at the Fermi energy, states/eV per cell: 6.851
Volume, Å³/cell: 125
Symmetry: No. 191

(b)
A plane-wave DFT calculation with PBE was carried out for an optimized crystal structure of Ta5Hg.

Lattice parameters (Å, degrees): 2.836 2.836 14.049 90.00 90.00 90.00
Element x y z (fractional)
Ta (0.000, 0.000, 0.000)
Ta (0.000, 0.000, 0.331)
Ta (0.000, 0.000, 0.669)
Ta (0.500, 0.500, 0.168)
Ta (0.500, 0.500, 0.832)
Hg (0.500, 0.500, 0.500)

## Properties
DOS at the Fermi energy, states/eV per cell: 8.234
Volume, Å³/cell: 113
Symmetry: No. 123

The least stable of them is (a).

(a)
A plane-wave DFT calculation with PBE was carried out for an optimized crystal structure of Ta5Hg4.

Lattice parameters (Å, degrees): 8.341 8.341 5.747 90.00 90.00 120.00
Element x y z (fractional)
Ta (0.000, 0.333, 0.250)
Ta (0.000, 0.667, 0.750)
Ta (0.333, 0.000, 0.250)
Ta (0.333, 0.333, 0.750)
Ta (0.333, 0.667, 0.000)
Ta (0.333, 0.667, 0.500)
Ta (0.667, 0.000, 0.750)
Ta (0.667, 0.333, 0.000)
Ta (0.667, 0.333, 0.500)
Ta (0.667, 0.667, 0.250)
Hg (0.000, 0.000, 0.000)
Hg (0.000, 0.000, 0.500)
Hg (0.000, 0.343, 0.750)
Hg (0.000, 0.657, 0.250)
Hg (0.343, 0.000, 0.750)
Hg (0.343, 0.343, 0.250)
Hg (0.657, 0.000, 0.250)
Hg (0.657, 0.657, 0.750)

## Properties
DOS at the Fermi energy, states/eV per cell: 7.599
Volume, Å³/cell: 346
Symmetry: No. 193

(b)
A plane-wave DFT calculation with PBE was carried out for an optimized crystal structure of Ta5Hg4.

Lattice parameters (Å, degrees): 6.875 6.875 6.875 94.85 94.85 146.20
Element x y z (fractional)
Ta (0.000, 0.000, 0.000)
Ta (0.335, 0.335, 0.670)
Ta (0.335, 0.665, 0.000)
Ta (0.665, 0.335, 0.000)
Ta (0.665, 0.665, 0.330)
Hg (0.000, 0.326, 0.326)
Hg (0.000, 0.674, 0.674)
Hg (0.326, 0.000, 0.326)
Hg (0.674, 0.000, 0.674)

## Properties
DOS at the Fermi energy, states/eV per cell: 6.908
Volume, Å³/cell: 173
Symmetry: No. 139

The least stable of them is (a).

(a)
A plane-wave DFT calculation with PBE was carried out for an optimized crystal structure of Ta3Hg2.

Lattice parameters (Å, degrees): 2.999 2.999 37.394 90.00 90.00 120.00
Element x y z (fractional)
Ta (0.000, 0.000, 0.000)
Ta (0.000, 0.000, 0.200)
Ta (0.000, 0.000, 0.800)
Ta (0.333, 0.667, 0.467)
Ta (0.333, 0.667, 0.667)
Ta (0.333, 0.667, 0.866)
Ta (0.667, 0.333, 0.134)
Ta (0.667, 0.333, 0.333)
Ta (0.667, 0.333, 0.533)
Hg (0.000, 0.000, 0.400)
Hg (0.000, 0.000, 0.600)
Hg (0.333, 0.667, 0.067)
Hg (0.333, 0.667, 0.266)
Hg (0.667, 0.333, 0.734)
Hg (0.667, 0.333, 0.933)

## Properties
DOS at the Fermi energy, states/eV per cell: 21.936
Volume, Å³/cell: 291
Symmetry: No. 166

(b)
A plane-wave DFT calculation with PBE was carried out for an optimized crystal structure of Ta3Hg2.

Lattice parameters (Å, degrees): 4.590 4.590 5.785 90.00 90.00 120.00
Element x y z (fractional)
Ta (0.000, 0.000, 0.000)
Ta (0.333, 0.667, 0.355)
Ta (0.667, 0.333, 0.645)
Hg (0.333, 0.667, 0.828)
Hg (0.667, 0.333, 0.172)

## Properties
DOS at the Fermi energy, states/eV per cell: 5.190
Volume, Å³/cell: 106
Symmetry: No. 164

(c)
A plane-wave DFT calculation with PBE was carried out for an optimized crystal structure of Ta3Hg2.

Lattice parameters (Å, degrees): 7.526 5.724 8.597 59.45 40.92 79.64
Element x y z (fractional)
Ta (0.000, 0.000, 0.000)
Ta (0.250, 0.250, 0.250)
Ta (0.366, 0.469, 0.431)
Ta (0.469, 0.366, 0.734)
Ta (0.516, 0.819, 0.781)
Ta (0.819, 0.516, 0.884)
Hg (0.056, 0.738, 0.343)
Hg (0.388, 0.907, 0.512)
Hg (0.738, 0.056, 0.862)
Hg (0.907, 0.388, 0.194)

## Properties
DOS at the Fermi energy, states/eV per cell: 9.761
Volume, Å³/cell: 195
Symmetry: No. 43

The least stable of them is (b).

(a)
A plane-wave DFT calculation with PBE was carried out for an optimized crystal structure of Ta5Hg3.

Lattice parameters (Å, degrees): 8.323 8.779 4.138 90.00 90.00 90.00
Element x y z (fractional)
Ta (0.000, 0.000, 0.000)
Ta (0.000, 0.244, 0.500)
Ta (0.000, 0.756, 0.500)
Ta (0.250, 0.250, 0.000)
Ta (0.250, 0.750, 0.000)
Ta (0.500, 0.256, 0.500)
Ta (0.500, 0.500, 0.000)
Ta (0.500, 0.744, 0.500)
Ta (0.750, 0.250, 0.000)
Ta (0.750, 0.750, 0.000)
Hg (0.000, 0.500, 0.000)
Hg (0.247, 0.000, 0.500)
Hg (0.253, 0.500, 0.500)
Hg (0.500, 0.000, 0.000)
Hg (0.747, 0.500, 0.500)
Hg (0.753, 0.000, 0.500)

## Properties
DOS at the Fermi energy, states/eV per cell: 10.233
Volume, Å³/cell: 302
Symmetry: No. 65

(b)
A plane-wave DFT calculation with PBE was carried out for an optimized crystal structure of Ta5Hg3.

Lattice parameters (Å, degrees): 8.308 8.308 5.264 90.00 90.00 120.00
Element x y z (fractional)
Ta (0.000, 0.196, 0.250)
Ta (0.000, 0.804, 0.750)
Ta (0.196, 0.000, 0.250)
Ta (0.196, 0.196, 0.750)
Ta (0.333, 0.667, 0.000)
Ta (0.333, 0.667, 0.500)
Ta (0.667, 0.333, 0.000)
Ta (0.667, 0.333, 0.500)
Ta (0.804, 0.000, 0.750)
Ta (0.804, 0.804, 0.250)
Hg (0.000, 0.405, 0.750)
Hg (0.000, 0.595, 0.250)
Hg (0.405, 0.000, 0.750)
Hg (0.405, 0.405, 0.250)
Hg (0.595, 0.000, 0.250)
Hg (0.595, 0.595, 0.750)

## Properties
DOS at the Fermi energy, states/eV per cell: 12.799
Volume, Å³/cell: 315
Symmetry: No. 193

The least stable of them is (b).